Record 1
Here is crystalline PuPb at its relaxed geometry from Alexandria via LeMat-Bulk. Energies are from PBE-GGA.

a b c (Å): 4.530 4.530 4.530
angles (deg): 60.00 60.00 60.00
Last column: magnetic moment on the atom in μB.
Fractional positions:
Pb 0.500 0.500 0.500  0.00
Pu 0.000 0.000 0.000  5.26

Output
crystal system	cubic
total magnetic moment	5.48	μB per formula unit
ρ	11.4	g/cm³
electronic total energy	-17.533	eV for the cell shown

***

Record 2
Here is crystalline Y2PaTe4 at its relaxed geometry from Alexandria via LeMat-Bulk. Energies are from PBE-GGA.

a b c (Å): 4.239 7.519 14.839
angles (deg): 90.00 90.00 106.37
Last column: magnetic moment on the atom in μB.
Fractional positions:
Y 0.865 0.730 0.934  0.03
Y 0.865 0.730 0.566  0.03
Y 0.135 0.270 0.434  0.03
Y 0.135 0.270 0.066  0.03
Pa 0.623 0.245 0.750  1.45
Pa 0.377 0.755 0.250  1.45
Te 0.223 0.446 0.875  -0.02
Te 0.777 0.554 0.375  -0.02
Te 0.500 0.000 0.000  -0.01
Te 0.962 0.923 0.750  -0.02
Te 0.038 0.077 0.250  -0.02
Te 0.223 0.446 0.625  -0.02
Te 0.777 0.554 0.125  -0.02
Te 0.500 0.000 0.500  -0.01

Output
formation energy from raw total energies	-1.098	eV per atom
crystal system	orthorhombic
total magnetic moment	1.74	μB per formula unit
ρ	6.7	g/cm³
electronic total energy	-85.357	eV for the cell shown

***

Record 3
Here is crystalline ZnCdCu2 at its relaxed geometry from Alexandria via LeMat-Bulk. Energies are from PBE-GGA.

a b c (Å): 3.566 3.566 6.521
angles (deg): 74.13 74.13 60.00
Fractional positions:
Cd 0.499 0.499 0.502
Zn 0.667 0.667 0.999
Cu 0.072 0.072 0.783
Cu 0.261 0.261 0.217

Output
crystal system	trigonal
total magnetic moment	0.00	μB per formula unit
ρ	7.4	g/cm³
electronic total energy	-9.324	eV for the cell shown

***

Record 4
Here is crystalline MnAl2Pb at its relaxed geometry from Alexandria via LeMat-Bulk. Energies are from PBE-GGA.

a b c (Å): 4.320 4.320 9.633
angles (deg): 77.04 77.04 90.00
Last column: magnetic moment on the atom in μB.
Fractional positions:
Al 0.875 0.804 0.750  -0.03
Al 0.554 0.125 0.250  -0.03
Al 0.196 0.625 0.250  -0.04
Al 0.375 0.446 0.750  -0.03
Mn 0.250 0.750 0.500  3.41
Mn 0.500 0.500 0.000  3.41
Pb 0.750 0.250 0.500  -0.04
Pb 0.000 0.000 0.000  -0.04

Output
crystal system	tetragonal
total magnetic moment	3.38	μB per formula unit
ρ	6.2	g/cm³
electronic total energy	-37.775	eV for the cell shown